# 1
Entry from Alexandria via LeMat-Bulk: a relaxed structure of Tl3In5Pb12 (PBE).

Cell: 15.667 15.667 15.667 Å, 109.47 109.47 109.47°
Element x y z (fractional)
Pb  0.370  0.937  0.769
Tl  0.250  0.125  0.375
Pb  0.399  0.269  0.332
In  0.250  0.375  0.625
Pb  0.630  0.567  0.899
In  0.125  0.375  0.250
In  0.250  0.875  0.125
In  0.625  0.750  0.875
In  0.500  0.500  0.000
Pb  0.769  0.332  0.899
Pb  0.332  0.563  0.433
In  0.125  0.750  0.375
Tl  0.750  0.875  0.625
Pb  0.168  0.067  0.937
Pb  0.870  0.269  0.437
Pb  0.769  0.437  0.370
Tl  0.125  0.250  0.875
Pb  0.563  0.231  0.130
Pb  0.933  0.101  0.870
Pb  0.731  0.601  0.168
In  0.625  0.875  0.250
In  0.750  0.125  0.875
Pb  0.130  0.731  0.563
In  0.500  0.000  0.000
Pb  0.832  0.899  0.269
Pb  0.567  0.937  0.668
Tl  0.375  0.625  0.250
In  0.500  0.000  0.500
Tl  0.875  0.125  0.250
Pb  0.937  0.567  0.168
Pb  0.067  0.168  0.437
Pb  0.437  0.769  0.870
Tl  0.875  0.750  0.125
In  0.500  0.500  0.500
In  0.000  0.000  0.500
Pb  0.870  0.601  0.933
Tl  0.625  0.375  0.750
Pb  0.269  0.399  0.832
Pb  0.563  0.332  0.933
In  0.375  0.125  0.750
Tl  0.625  0.250  0.375
Pb  0.063  0.630  0.731
Pb  0.567  0.630  0.399
Pb  0.899  0.067  0.630
Pb  0.899  0.832  0.769
Tl  0.125  0.875  0.750
Pb  0.630  0.063  0.231
Pb  0.370  0.433  0.101
Pb  0.433  0.370  0.601
Pb  0.067  0.899  0.130
Pb  0.231  0.563  0.630
In  0.875  0.250  0.625
In  0.750  0.625  0.375
Pb  0.101  0.168  0.231
Tl  0.750  0.375  0.125
In  0.000  0.500  0.500
In  0.375  0.250  0.125
Pb  0.832  0.933  0.063
Pb  0.101  0.933  0.370
Pb  0.933  0.832  0.563
Pb  0.399  0.130  0.567
Pb  0.937  0.370  0.269
Pb  0.731  0.130  0.063
Pb  0.433  0.063  0.332
Pb  0.168  0.101  0.731
Pb  0.269  0.870  0.937
Tl  0.250  0.625  0.875
Pb  0.130  0.399  0.067
In  0.000  0.000  0.000
Pb  0.668  0.437  0.567
Pb  0.332  0.769  0.399
Tl  0.375  0.750  0.625
Pb  0.668  0.231  0.601
In  0.000  0.500  0.000
Pb  0.437  0.668  0.067
Pb  0.601  0.731  0.668
Pb  0.231  0.668  0.101
Pb  0.063  0.433  0.832
In  0.875  0.625  0.750
Pb  0.601  0.870  0.433

calculated volume: 37.00 Å³ per atom
mass density: 8.24 Mg/m³
symmetry: Ia-3d
ΔE_f: 22.9 kJ per mole of atoms
total energy: -3.027 eV/atom
magnetization: 0.0 μB per formula unit



# 2
Entry from Alexandria via LeMat-Bulk: a relaxed structure of Tl2InPb2 (PBE).

Cell: 8.946 8.946 4.010 Å, 90.00 90.00 90.00°
Element x y z (fractional)
Tl  0.164  0.664  0.500
Pb  0.636  0.136  0.000
Pb  0.864  0.636  0.000
In  0.500  0.500  0.000
Pb  0.136  0.364  0.000
Pb  0.364  0.864  0.000
In  0.000  0.000  0.000
Tl  0.836  0.336  0.500
Tl  0.336  0.164  0.500
Tl  0.664  0.836  0.500

calculated volume: 32.09 Å³ per atom
mass density: 9.71 Mg/m³
symmetry: P4/mbm
ΔE_f: 10.8 kJ per mole of atoms
polymorph energy (0 for the lowest one): 0.096 eV/atom
total energy: -2.866 eV/atom
magnetization: 0.0 μB per formula unit



# 3
Entry from Alexandria via LeMat-Bulk: a relaxed structure of Tl5In2Pb (PBE).

Cell: 5.774 7.839 12.969 Å, 90.00 90.00 111.61°
Element x y z (fractional)
Tl  0.408  0.815  0.109
Tl  0.592  0.185  0.891
In  0.204  0.408  0.502
Pb  0.206  0.411  0.250
In  0.796  0.592  0.498
Tl  0.009  0.018  0.376
Tl  0.009  0.018  0.124
Tl  0.991  0.982  0.876
In  0.796  0.592  0.002
Tl  0.207  0.414  0.750
Tl  0.793  0.586  0.250
Tl  0.991  0.982  0.624
Tl  0.592  0.185  0.609
Tl  0.408  0.815  0.391
Pb  0.794  0.589  0.750
In  0.204  0.408  0.998

calculated volume: 34.10 Å³ per atom
mass density: 8.88 Mg/m³
symmetry: Cmcm
ΔE_f: 11.0 kJ per mole of atoms
polymorph energy (0 for the lowest one): 0.096 eV/atom
total energy: -2.513 eV/atom
magnetization: 0.0 μB per formula unit